# GGA-PBE SrHoAlO4, relaxed
data_SrHoAlO4
_space_group_name_H-M_alt 'P 1 21/m 1'
_space_group_IT_number 11
_cell_length_a 5.603
_cell_length_b 5.719
_cell_length_c 6.811
_cell_angle_alpha 90.00
_cell_angle_beta 108.00
_cell_angle_gamma 90.00
loop_
_space_group_symop_operation_xyz
'x,y,z'
'-x,-y,-z'
'-x,y+1/2,-z'
'x,-y+1/2,z'
loop_
_atom_site_label
_atom_site_type_symbol
_atom_site_fract_x
_atom_site_fract_y
_atom_site_fract_z
Sr1 Sr 0.211 0.250 0.433
Ho1 Ho 0.306 0.250 0.963
Al1 Al 0.239 0.750 0.177
O1 O 0.033 0.750 0.924
O2 O 0.041 0.750 0.333
O3 O 0.462 0.518 0.212
# E ... -7.375 eV/atom
# Formation energy from raw total energies ... -3.112 eV/atom